A relaxed structure of LiNiGe2O. Source: the Alexandria database, functional GGA+U.

For the raw total energy, the calculation gives -16.36 eV for the cell shown. The value obtained for the magnetic moment is 0.14 μB per atom.

The structure belongs to space group P4/mmm (No. 123); the cell edges are 4.7075, 4.7075 and 3.2324 Å and the angles 90.00°, 90.00° and 90.00°. The distinct sites, in fractional coordinates, are Li at (0.0000, 0.0000, 0.0000), Ni at (0.5000, 0.5000, 0.5000), Ge at (0.0000, 0.5000, 0.0000) and O at (0.0000, 0.0000, 0.5000).